(1)
Here is K2HoGeSe4 after structural relaxation from Alexandria via LeMat-Bulk. Energies are from PBE-GGA.

Unit cell a=8.583 b=8.583 c=8.583 alpha=120.20 beta=119.84 gamma=89.96
Element x y z (fractional)
K1 0.000 0.000 0.000
K2 0.500 0.000 0.000
K3 0.500 0.000 0.500
K4 0.500 0.500 0.500
Ho1 0.000 0.500 0.500
Ho2 0.500 0.500 0.000
Ge1 0.000 0.000 0.500
Ge2 0.000 0.500 0.000
Se1 0.198 0.737 0.462
Se2 0.225 0.263 0.962
Se3 0.231 0.257 0.526
Se4 0.231 0.705 0.974
Se5 0.769 0.295 0.026
Se6 0.769 0.743 0.474
Se7 0.775 0.737 0.038
Se8 0.802 0.263 0.538

Output
N(E_F): 0.457 states/eV/atom
uncorrected formation energy: -1089 meV per atom

***

(2)
Here is KHoGeTe3 after structural relaxation from Alexandria via LeMat-Bulk. Energies are from PBE-GGA.

Unit cell a=9.213 b=4.286 c=11.681 alpha=90.00 beta=109.66 gamma=90.00
Element x y z (fractional)
K1 0.232 0.250 0.280
K2 0.768 0.750 0.720
Ho1 0.365 0.750 0.841
Ho2 0.635 0.250 0.159
Ge1 0.118 0.250 0.553
Ge2 0.882 0.750 0.447
Te1 0.107 0.250 0.781
Te2 0.330 0.750 0.567
Te3 0.386 0.750 0.107
Te4 0.614 0.250 0.893
Te5 0.670 0.250 0.433
Te6 0.893 0.750 0.219

Output
uncorrected formation energy: -939 meV per atom

***

(3)
Here is LaHoGe4 after structural relaxation from Alexandria via LeMat-Bulk. Energies are from PBE-GGA.

Unit cell a=8.926 b=15.418 c=4.136 alpha=90.00 beta=90.00 gamma=90.00
Element x y z (fractional)
La1 0.121 0.137 0.000
La2 0.379 0.637 0.000
La3 0.621 0.363 0.000
La4 0.879 0.863 0.000
Ho1 0.146 0.415 0.000
Ho2 0.354 0.915 0.000
Ho3 0.646 0.085 0.000
Ho4 0.854 0.585 0.000
Ge1 0.048 0.292 0.500
Ge2 0.115 0.565 0.500
Ge3 0.125 0.964 0.500
Ge4 0.174 0.803 0.500
Ge5 0.326 0.303 0.500
Ge6 0.375 0.464 0.500
Ge7 0.385 0.065 0.500
Ge8 0.452 0.792 0.500
Ge9 0.548 0.208 0.500
Ge10 0.615 0.935 0.500
Ge11 0.625 0.536 0.500
Ge12 0.674 0.697 0.500
Ge13 0.826 0.197 0.500
Ge14 0.875 0.036 0.500
Ge15 0.885 0.435 0.500
Ge16 0.952 0.708 0.500

Output
formation energy: -0.535 eV per atom
N(E_F): 0.308 states/eV/atom

***

(4)
Here is LaHoGe after structural relaxation from Alexandria via LeMat-Bulk. Energies are from PBE-GGA.

Unit cell a=4.802 b=4.802 c=4.364 alpha=90.00 beta=90.00 gamma=120.00
Element x y z (fractional)
La1 0.000 0.000 0.000
Ho1 0.333 0.667 0.480
Ge1 0.667 0.333 0.582

Output
formation energy: -0.463 eV per atom
distance to the lowest polymorph of the same formula: 0.1965 eV per atom
N(E_F): 0.509 states/eV/atom

***

(5)
Here is LaHoGe after structural relaxation from Alexandria via LeMat-Bulk. Energies are from PBE-GGA.

Unit cell a=5.893 b=5.893 c=5.521 alpha=90.00 beta=90.00 gamma=124.55
Element x y z (fractional)
La1 0.091 0.909 0.750
La2 0.909 0.091 0.250
Ho1 0.382 0.618 0.750
Ho2 0.618 0.382 0.250
Ge1 0.241 0.759 0.250
Ge2 0.759 0.241 0.750

Output
formation energy: -0.466 eV per atom
distance to the lowest polymorph of the same formula: 0.1931 eV per atom
N(E_F): 0.708 states/eV/atom

***

(6)
Here is La2HoGe2 after structural relaxation from Alexandria via LeMat-Bulk. Energies are from PBE-GGA.

Unit cell a=6.741 b=6.741 c=11.047 alpha=115.38 beta=115.38 gamma=38.91
Element x y z (fractional)
La1 0.015 0.015 0.187
La2 0.179 0.179 0.590
La3 0.821 0.821 0.410
La4 0.985 0.985 0.813
Ho1 0.276 0.276 0.133
Ho2 0.724 0.724 0.867
Ge1 0.382 0.382 0.941
Ge2 0.490 0.490 0.611
Ge3 0.510 0.510 0.389
Ge4 0.618 0.618 0.059

Output
formation energy: -0.735 eV per atom
distance to the lowest polymorph of the same formula: 0.0536 eV per atom
N(E_F): 0.776 states/eV/atom

***

(7)
Here is LaHo2Ge2 after structural relaxation from Alexandria via LeMat-Bulk. Energies are from PBE-GGA.

Unit cell a=5.694 b=4.678 c=10.737 alpha=90.00 beta=102.88 gamma=90.00
Element x y z (fractional)
La1 0.078 0.250 0.280
La2 0.922 0.750 0.720
Ho1 0.248 0.250 0.958
Ho2 0.388 0.250 0.624
Ho3 0.612 0.750 0.376
Ho4 0.752 0.750 0.042
Ge1 0.184 0.750 0.477
Ge2 0.278 0.750 0.117
Ge3 0.722 0.250 0.883
Ge4 0.816 0.250 0.523

Output
formation energy: -0.608 eV per atom
N(E_F): 0.701 states/eV/atom

***

(8)
Here is LaHoGe after structural relaxation from Alexandria via LeMat-Bulk. Energies are from PBE-GGA.

Unit cell a=11.128 b=11.128 c=11.128 alpha=23.55 beta=23.55 gamma=23.55
Element x y z (fractional)
La1 0.120 0.120 0.120
La2 0.880 0.880 0.880
Ho1 0.299 0.299 0.299
Ho2 0.701 0.701 0.701
Ge1 0.400 0.400 0.400
Ge2 0.600 0.600 0.600

Output
formation energy: -0.459 eV per atom
distance to the lowest polymorph of the same formula: 0.2005 eV per atom
N(E_F): 0.635 states/eV/atom

***

(9)
Here is La2HoGe2 after structural relaxation from Alexandria via LeMat-Bulk. Energies are from PBE-GGA.

Unit cell a=7.783 b=7.783 c=4.543 alpha=90.00 beta=90.00 gamma=90.00
Element x y z (fractional)
La1 0.175 0.325 0.000
La2 0.325 0.825 0.000
La3 0.675 0.175 0.000
La4 0.825 0.675 0.000
Ho1 0.000 0.000 0.500
Ho2 0.500 0.500 0.500
Ge1 0.122 0.622 0.500
Ge2 0.378 0.122 0.500
Ge3 0.622 0.878 0.500
Ge4 0.878 0.378 0.500

Output
formation energy: -0.789 eV per atom
distance to the lowest polymorph of the same formula: 0.0000 eV per atom
N(E_F): 0.879 states/eV/atom

***

(10)
Here is LaHoGe after structural relaxation from Alexandria via LeMat-Bulk. Energies are from PBE-GGA.

Unit cell a=8.902 b=8.902 c=8.902 alpha=150.62 beta=150.62 gamma=42.04
Element x y z (fractional)
La1 0.180 0.180 0.000
La2 0.820 0.820 0.000
Ho1 0.000 0.500 0.500
Ho2 0.500 0.000 0.500
Ge1 0.374 0.374 0.000
Ge2 0.626 0.626 0.000

Output
formation energy: -0.659 eV per atom
distance to the lowest polymorph of the same formula: 0.0000 eV per atom
N(E_F): 0.911 states/eV/atom

***

(11)
Here is LaHo2Ge4 after structural relaxation from Alexandria via LeMat-Bulk. Energies are from PBE-GGA.

Unit cell a=9.637 b=9.637 c=9.637 alpha=155.72 beta=153.89 gamma=35.95
Element x y z (fractional)
La1 0.000 0.000 0.000
Ho1 0.182 0.682 0.500
Ho2 0.818 0.318 0.500
Ge1 0.340 0.840 0.500
Ge2 0.431 0.431 0.000
Ge3 0.569 0.569 0.000
Ge4 0.660 0.160 0.500

Output
formation energy: -0.781 eV per atom
N(E_F): 0.464 states/eV/atom

***

(12)
Here is LaHoGe after structural relaxation from Alexandria via LeMat-Bulk. Energies are from PBE-GGA.

Unit cell a=5.022 b=5.022 c=5.022 alpha=60.00 beta=60.00 gamma=60.00
Element x y z (fractional)
La1 0.000 0.000 0.000
Ho1 0.500 0.500 0.500
Ge1 0.750 0.750 0.750

Output
formation energy: -0.527 eV per atom
distance to the lowest polymorph of the same formula: 0.1321 eV per atom
N(E_F): 1.010 states/eV/atom

***

(13)
Here is La2Ho3Ge4 after structural relaxation from Alexandria via LeMat-Bulk. Energies are from PBE-GGA.

Unit cell a=7.940 b=7.969 c=7.711 alpha=90.00 beta=109.68 gamma=90.00
Element x y z (fractional)
La1 0.194 0.177 0.070
La2 0.194 0.323 0.570
La3 0.806 0.677 0.430
La4 0.806 0.823 0.930
Ho1 0.247 0.668 0.248
Ho2 0.247 0.832 0.748
Ho3 0.500 0.000 0.500
Ho4 0.500 0.500 0.000
Ho5 0.753 0.168 0.252
Ho6 0.753 0.332 0.752
Ge1 0.084 0.540 0.854
Ge2 0.084 0.960 0.354
Ge3 0.493 0.132 0.864
Ge4 0.493 0.368 0.364
Ge5 0.507 0.632 0.636
Ge6 0.507 0.868 0.136
Ge7 0.916 0.040 0.646
Ge8 0.916 0.460 0.146

Output
formation energy: -0.887 eV per atom
N(E_F): 0.750 states/eV/atom

***

(14)
Here is LiLaHoGe after structural relaxation from Alexandria via LeMat-Bulk. Energies are from PBE-GGA.

Unit cell a=5.166 b=5.166 c=5.166 alpha=60.00 beta=60.00 gamma=60.00
Element x y z (fractional)
Li1 0.000 0.000 0.000
La1 0.750 0.750 0.750
Ho1 0.250 0.250 0.250
Ge1 0.500 0.500 0.500

Output
formation energy: -0.405 eV per atom
N(E_F): 0.690 states/eV/atom

***

(15)
Here is Li2LaHo2Ge2 after structural relaxation from Alexandria via LeMat-Bulk. Energies are from PBE-GGA.

Unit cell a=9.397 b=9.397 c=9.397 alpha=27.99 beta=27.99 gamma=27.99
Element x y z (fractional)
Li1 0.090 0.090 0.090
Li2 0.910 0.910 0.910
La1 0.500 0.500 0.500
Ho1 0.371 0.371 0.371
Ho2 0.629 0.629 0.629
Ge1 0.243 0.243 0.243
Ge2 0.757 0.757 0.757

Output
formation energy: -0.499 eV per atom
N(E_F): 0.511 states/eV/atom

***

(16)
Here is LaHoMgGe after structural relaxation from Alexandria via LeMat-Bulk. Energies are from PBE-GGA.

Unit cell a=5.260 b=5.260 c=5.260 alpha=60.00 beta=60.00 gamma=60.00
Element x y z (fractional)
La1 0.000 0.000 0.000
Ho1 0.500 0.500 0.500
Mg1 0.750 0.750 0.750
Ge1 0.250 0.250 0.250

Output
formation energy: -0.371 eV per atom
N(E_F): 0.742 states/eV/atom

***

(17)
Here is LaHoGeO5 after structural relaxation from Alexandria via LeMat-Bulk. Energies are from PBE-GGA.

Unit cell a=5.970 b=5.970 c=7.618 alpha=102.49 beta=102.49 gamma=107.21
Element x y z (fractional)
La1 0.168 0.832 0.750
La2 0.832 0.168 0.250
Ho1 0.500 0.500 0.000
Ho2 0.500 0.500 0.500
Ge1 0.176 0.824 0.250
Ge2 0.824 0.176 0.750
O1 0.106 0.226 0.919
O2 0.168 0.597 0.371
O3 0.226 0.106 0.419
O4 0.396 0.604 0.750
O5 0.403 0.832 0.129
O6 0.597 0.168 0.871
O7 0.604 0.396 0.250
O8 0.774 0.894 0.581
O9 0.832 0.403 0.629
O10 0.894 0.774 0.081

Output
N(E_F): 0.000 states/eV/atom
uncorrected formation energy: -2880 meV per atom

***

(18)
Here is LaHoGe2Pd2 after structural relaxation from Alexandria via LeMat-Bulk. Energies are from PBE-GGA.

Unit cell a=4.470 b=4.470 c=7.368 alpha=90.00 beta=90.00 gamma=120.00
Element x y z (fractional)
La1 0.000 0.000 0.000
Ho1 0.000 0.000 0.500
Ge1 0.333 0.667 0.272
Ge2 0.667 0.333 0.728
Pd1 0.333 0.667 0.701
Pd2 0.667 0.333 0.299

Output
formation energy: -0.950 eV per atom
N(E_F): 0.804 states/eV/atom

***

(19)
Here is La2HoGe3Pd4 after structural relaxation from Alexandria via LeMat-Bulk. Energies are from PBE-GGA.

Unit cell a=4.341 b=4.341 c=11.210 alpha=90.00 beta=90.00 gamma=90.00
Element x y z (fractional)
La1 0.000 0.500 0.225
La2 0.500 0.000 0.775
Ho1 0.000 0.000 0.500
Ge1 0.000 0.500 0.879
Ge2 0.500 0.000 0.121
Ge3 0.500 0.500 0.500
Pd1 0.000 0.000 0.000
Pd2 0.000 0.500 0.656
Pd3 0.500 0.000 0.344
Pd4 0.500 0.500 0.000

Output
formation energy: -0.878 eV per atom
N(E_F): 0.698 states/eV/atom

***

(20)
Here is LaHoGe2Pd5 after structural relaxation from Alexandria via LeMat-Bulk. Energies are from PBE-GGA.

Unit cell a=4.300 b=4.300 c=9.122 alpha=90.00 beta=90.00 gamma=90.00
Element x y z (fractional)
La1 0.000 0.000 0.000
Ho1 0.000 0.000 0.500
Ge1 0.500 0.500 0.367
Ge2 0.500 0.500 0.633
Pd1 0.000 0.500 0.231
Pd2 0.000 0.500 0.769
Pd3 0.500 0.000 0.231
Pd4 0.500 0.000 0.769
Pd5 0.500 0.500 0.000

Output
formation energy: -0.790 eV per atom
N(E_F): 0.310 states/eV/atom